# 1
NaGa2F: optimized geometry, PBE-GGA.

abc: 3.569 3.569 14.015
angles: 82.68 82.68 90.00
Sites, in units of the cell vectors:
Na 0.000 0.000 0.000
Na 0.750 0.250 0.500
Ga 0.624 0.125 0.250
Ga 0.126 0.625 0.250
Ga 0.375 0.376 0.750
Ga 0.875 0.874 0.750
F 0.500 0.500 0.000
F 0.250 0.750 0.500

Output
Final energy, eV/atom: -3.262
ΔE to the lowest computed polymorph, eV/atom: 0.000
N(E_F), states/eV/atom: 0.30
Raw formation energy, meV/atom: -950.6
Mass density, Mg/m³: 3.43

=====

# 2
CuAgAs2: optimized geometry, PBE-GGA.

abc: 2.961 3.901 6.033
angles: 90.00 90.00 90.00
Sites, in units of the cell vectors:
Ag 0.500 0.500 0.750
As 0.000 0.000 0.029
As 0.000 0.000 0.471
Cu 0.500 0.500 0.250

Output
Final energy, eV/atom: -3.841
ΔE to the lowest computed polymorph, eV/atom: 0.062
N(E_F), states/eV/atom: 0.16
Mass density, Mg/m³: 7.66

=====

# 3
CrC2: optimized geometry, PBE-GGA.

abc: 2.705 2.705 7.991
angles: 90.00 90.00 120.00
Sites, in units of the cell vectors:
Cr 0.667 0.333 0.750
Cr 0.333 0.667 0.250
C 0.000 0.000 0.916
C 0.000 0.000 0.416
C 0.000 0.000 0.084
C 0.000 0.000 0.584

Output
Final energy, eV/atom: -8.735
ΔE to the lowest computed polymorph, eV/atom: 0.127
N(E_F), states/eV/atom: 0.99
Mass density, Mg/m³: 4.98

=====

# 4
RuW2Se5: optimized geometry, PBE-GGA.

abc: 5.518 7.146 7.079
angles: 59.69 66.26 90.00
Sites, in units of the cell vectors:
Ru 0.015 0.989 0.023
W 0.503 0.977 0.045
W 0.916 0.366 0.268
Se 0.636 0.622 0.317
Se 0.636 0.061 0.317
Se 0.296 0.736 0.965
Se 0.296 0.298 0.965
Se 0.924 0.174 0.653

Output
Final energy, eV/atom: -6.424
N(E_F), states/eV/atom: 0.75
Raw formation energy, meV/atom: 151.9
Mass density, Mg/m³: 6.73

=====

# 5
Ce2PmF11: optimized geometry, PBE-GGA.

abc: 8.414 8.758 8.758
angles: 73.73 61.29 61.29
Sites, in units of the cell vectors:
Ce 0.646 0.682 0.318
Ce 0.354 0.318 0.682
Ce 0.854 0.182 0.818
Ce 0.146 0.818 0.182
Pm 0.750 0.750 0.750
Pm 0.250 0.250 0.250
F 0.645 0.709 0.561
F 0.355 0.291 0.439
F 0.085 0.561 0.709
F 0.855 0.939 0.791
F 0.915 0.439 0.291
F 0.145 0.061 0.209
F 0.415 0.791 0.939
F 0.585 0.209 0.061
F 0.500 0.500 0.500
F 0.000 0.000 0.000
F 0.874 0.786 0.214
F 0.126 0.214 0.786
F 0.626 0.286 0.714
F 0.374 0.714 0.286
F 0.455 0.964 0.317
F 0.545 0.036 0.683
F 0.264 0.317 0.964
F 0.045 0.183 0.536
F 0.736 0.683 0.036
F 0.955 0.817 0.464
F 0.236 0.536 0.183
F 0.764 0.464 0.817

Output
Final energy, eV/atom: -6.495
N(E_F), states/eV/atom: 0.00
Raw formation energy, meV/atom: -3837.3
Mass density, Mg/m³: 4.25

=====

# 6
MnAgI3: optimized geometry, PBE-GGA.

abc: 4.323 7.318 12.543
angles: 90.00 99.92 90.00
Site moments in Bohr magnetons follow the coordinates.
Sites, in units of the cell vectors:
Mn 0.884 0.940 0.769  4.29
Mn 0.116 0.440 0.231  4.29
Ag 0.313 0.466 0.625  0.02
Ag 0.687 0.966 0.375  0.02
I 0.879 0.305 0.758  0.05
I 0.121 0.805 0.242  0.05
I 0.558 0.326 0.115  0.08
I 0.442 0.826 0.885  0.08
I 0.788 0.758 0.576  0.04
I 0.212 0.258 0.424  0.04

Output
Final energy, eV/atom: -3.664
ΔE to the lowest computed polymorph, eV/atom: 0.003
Raw formation energy, meV/atom: -330.0
Mass density, Mg/m³: 4.62

=====

# 7
B3SbRh: optimized geometry, PBE-GGA.

abc: 4.157 4.157 4.157
angles: 90.00 90.00 90.00
Sites, in units of the cell vectors:
Sb 0.500 0.500 0.500
B 0.000 0.500 0.000
B 0.000 0.000 0.500
B 0.500 0.000 0.000
Rh 0.000 0.000 0.000

Output
Final energy, eV/atom: -5.112
ΔE to the lowest computed polymorph, eV/atom: 0.000
N(E_F), states/eV/atom: 0.62
Raw formation energy, meV/atom: 1189.2
Mass density, Mg/m³: 5.94

=====

# 8
CaSm4Au5: optimized geometry, PBE-GGA.

abc: 3.655 3.655 18.553
angles: 90.00 90.00 90.00
Sites, in units of the cell vectors:
Ca 0.000 0.000 0.000
Sm 0.000 0.000 0.198
Sm 0.000 0.000 0.400
Sm 0.000 0.000 0.600
Sm 0.000 0.000 0.802
Au 0.500 0.500 0.105
Au 0.500 0.500 0.300
Au 0.500 0.500 0.500
Au 0.500 0.500 0.700
Au 0.500 0.500 0.895

Output
Final energy, eV/atom: -4.526
N(E_F), states/eV/atom: 0.63
Mass density, Mg/m³: 10.90

=====

# 9
SrAu6: optimized geometry, PBE-GGA.

abc: 6.480 6.480 6.480
angles: 109.47 109.47 109.47
Sites, in units of the cell vectors:
Sr 0.000 0.000 0.000
Au 0.250 0.750 0.500
Au 0.500 0.750 0.250
Au 0.250 0.500 0.750
Au 0.750 0.250 0.500
Au 0.500 0.250 0.750
Au 0.750 0.500 0.250

Output
Final energy, eV/atom: -2.935
ΔE to the lowest computed polymorph, eV/atom: 0.473
N(E_F), states/eV/atom: 0.47
Mass density, Mg/m³: 10.06

=====

# 10
TaAu2Br: optimized geometry, PBE-GGA.

abc: 8.442 8.442 6.500
angles: 49.50 49.50 90.00
Site moments in Bohr magnetons follow the coordinates.
Sites, in units of the cell vectors:
Au 0.689 0.125 0.250  0.04
Au 0.061 0.625 0.250  0.04
Au 0.375 0.311 0.750  0.04
Au 0.875 0.939 0.750  0.04
Br 0.500 0.500 0.000  0.01
Br 0.250 0.750 0.500  0.01
Ta 0.000 0.000 0.000  0.45
Ta 0.750 0.250 0.500  0.45

Output
Final energy, eV/atom: -4.574
ΔE to the lowest computed polymorph, eV/atom: 0.444
N(E_F), states/eV/atom: 0.87
Raw formation energy, meV/atom: 446.1
Mass density, Mg/m³: 11.87

=====

# 11
Ba12H5S3: optimized geometry, PBE-GGA.

abc: 15.214 15.214 15.214
angles: 109.47 109.47 109.47
Site moments in Bohr magnetons follow the coordinates.
Sites, in units of the cell vectors:
S 0.750 0.375 0.125  0.02
S 0.875 0.750 0.125  0.02
S 0.375 0.750 0.625  0.02
S 0.250 0.125 0.375  0.02
S 0.875 0.125 0.250  0.02
S 0.375 0.625 0.250  0.02
S 0.625 0.375 0.750  0.02
S 0.125 0.875 0.750  0.02
S 0.750 0.875 0.625  0.02
S 0.625 0.250 0.375  0.02
S 0.125 0.250 0.875  0.02
S 0.250 0.625 0.875  0.02
H 0.125 0.375 0.250  0.00
H 0.000 0.500 0.000  0.00
H 0.000 0.000 0.000  0.00
H 0.375 0.250 0.125  0.00
H 0.500 0.000 0.500  0.00
H 0.500 0.500 0.000  0.00
H 0.125 0.750 0.375  0.00
H 0.750 0.125 0.875  0.00
H 0.750 0.625 0.375  0.00
H 0.375 0.125 0.750  0.00
H 0.625 0.875 0.250  0.00
H 0.500 0.500 0.500  0.00
H 0.500 0.000 0.000  0.00
H 0.000 0.000 0.500  0.00
H 0.250 0.375 0.625  0.00
H 0.250 0.875 0.125  0.00
H 0.000 0.500 0.500  0.00
H 0.875 0.250 0.625  0.00
H 0.625 0.750 0.875  0.00
H 0.875 0.625 0.750  0.00
Ba 0.719 0.124 0.031  0.09
Ba 0.312 0.531 0.407  0.09
Ba 0.969 0.376 0.281  0.09
Ba 0.531 0.219 0.124  0.09
Ba 0.595 0.719 0.688  0.09
Ba 0.969 0.593 0.188  0.09
Ba 0.312 0.781 0.405  0.09
Ba 0.093 0.905 0.124  0.09
Ba 0.593 0.969 0.688  0.09
Ba 0.719 0.595 0.188  0.09
Ba 0.781 0.469 0.376  0.09
Ba 0.812 0.907 0.031  0.09
Ba 0.124 0.719 0.531  0.09
Ba 0.376 0.407 0.095  0.09
Ba 0.095 0.907 0.376  0.09
Ba 0.405 0.124 0.593  0.09
Ba 0.095 0.188 0.219  0.09
Ba 0.469 0.688 0.093  0.09
Ba 0.812 0.905 0.281  0.09
Ba 0.124 0.405 0.093  0.09
Ba 0.376 0.969 0.781  0.09
Ba 0.593 0.624 0.405  0.09
Ba 0.907 0.812 0.531  0.09
Ba 0.781 0.312 0.905  0.09
Ba 0.407 0.376 0.595  0.09
Ba 0.093 0.188 0.469  0.09
Ba 0.219 0.688 0.095  0.09
Ba 0.188 0.095 0.719  0.09
Ba 0.624 0.031 0.219  0.09
Ba 0.876 0.595 0.907  0.09
Ba 0.531 0.312 0.907  0.09
Ba 0.595 0.876 0.407  0.09
Ba 0.905 0.812 0.781  0.09
Ba 0.905 0.093 0.624  0.09
Ba 0.876 0.281 0.469  0.09
Ba 0.188 0.093 0.969  0.09
Ba 0.624 0.593 0.905  0.09
Ba 0.407 0.031 0.312  0.09
Ba 0.281 0.405 0.812  0.09
Ba 0.219 0.531 0.624  0.09
Ba 0.907 0.095 0.876  0.09
Ba 0.688 0.219 0.595  0.09
Ba 0.469 0.781 0.876  0.09
Ba 0.031 0.407 0.812  0.09
Ba 0.405 0.281 0.312  0.09
Ba 0.031 0.624 0.719  0.09
Ba 0.688 0.469 0.593  0.09
Ba 0.281 0.876 0.969  0.09

Output
Final energy, eV/atom: -3.199
N(E_F), states/eV/atom: 0.90
Mass density, Mg/m³: 4.29

=====

What did the fourth record say?
RuW2Se5: optimized geometry, PBE-GGA.

abc: 5.518 7.146 7.079
angles: 59.69 66.26 90.00
Sites, in units of the cell vectors:
Ru 0.015 0.989 0.023
W 0.503 0.977 0.045
W 0.916 0.366 0.268
Se 0.636 0.622 0.317
Se 0.636 0.061 0.317
Se 0.296 0.736 0.965
Se 0.296 0.298 0.965
Se 0.924 0.174 0.653

Output
Final energy, eV/atom: -6.424
N(E_F), states/eV/atom: 0.75
Raw formation energy, meV/atom: 151.9
Mass density, Mg/m³: 6.73